The following is a DFT calculation (PBE with a Hubbard U) of a geometry-optimized PrV2AgO8 structure.

Values from the calculation:
**Uncorrected energy**: -6.87 eV/atom
**Symmetry**: P-3m1

Lattice parameters (Å, degrees): 5.932 5.932 6.345 90.00 90.00 120.00
Site moments in Bohr magnetons follow the coordinates.
Fractional coordinates of all 12 atoms:
O 0.334 0.167 0.263  0.18
O 0.333 0.667 0.392  0.16
O 0.833 0.666 0.263  0.18
O 0.833 0.167 0.263  0.18
O 0.167 0.334 0.737  0.18
O 0.666 0.833 0.737  0.18
O 0.667 0.333 0.608  0.16
O 0.167 0.833 0.737  0.18
Pr 0.000 0.000 0.000  -0.01
V 0.667 0.333 0.350  -0.08
V 0.333 0.667 0.650  -0.08
Ag 0.000 0.000 0.500  0.60